Entry from the Alexandria database: crystalline TcAgPb2 at its relaxed geometry (PBE).

Cell and atoms, written as CIF:
```
data_TcAgPb2
_chemical_formula_sum 'Tc2 Ag2 Pb4'
_symmetry_space_group_name_H-M 'P 1'
_symmetry_Int_Tables_number 1
_cell_length_a 7.736
_cell_length_b 7.736
_cell_length_c 7.736
_cell_angle_alpha 130.99
_cell_angle_beta 130.99
_cell_angle_gamma 71.82
loop_
_symmetry_equiv_pos_as_xyz
'x,y,z'
loop_
_atom_site_label
_atom_site_type_symbol
_atom_site_fract_x
_atom_site_fract_y
_atom_site_fract_z
_atom_site_occupancy
Tc1 Tc 0.000 0.000 0.000 1
Tc2 Tc 0.750 0.250 0.500 1
Ag1 Ag 0.250 0.750 0.500 1
Ag2 Ag 0.500 0.500 0.000 1
Pb1 Pb 0.091 0.625 0.966 1
Pb2 Pb 0.375 0.341 0.466 1
Pb3 Pb 0.659 0.125 0.034 1
Pb4 Pb 0.875 0.909 0.534 1
```

Output
ΔE to the lowest computed polymorph, meV per atom: 571
ΔE_f, meV per atom: 1030
Symmetry: I-42d, No. 122